1.
DFT (PBE-GGA) results for a relaxed structure of Zr3AuN.

Output
Magnetic moment, μB per formula unit: 0.0
Total energy, eV per atom: -8.362
Space group: C2/m, No. 12
Crystal system: monoclinic
Uncorrected formation energy, meV per atom: -913

Cell: 4.5415 9.3243 4.4844 Å, 76.09 90.04 104.09°
With the nearest neighbours (Å) after each atom.
Atoms (fractional coordinates):
Au 0.1684 0.7062 0.3770  10 Zr 2.99-3.23, 2 Au 3.08
Au 0.7875 0.9445 0.2572  10 Zr 2.99-3.23, 2 Au 3.08
Zr 0.0493 0.4680 0.9960  2 N 2.27
Zr 0.4186 0.2070 0.1265  3 N 2.25-2.27
Zr 0.2815 0.9326 0.7648  1 N 2.21
Zr 0.5373 0.4438 0.5076  3 N 2.25-2.27
Zr 0.9065 0.1827 0.6382  2 N 2.27
Zr 0.6744 0.7182 0.8694  1 N 2.21
N 0.5481 0.4657 0.9967  6 Zr 2.21-2.27
N 0.4077 0.1851 0.6375  6 Zr 2.21-2.27


2.
DFT (PBE-GGA) results for a relaxed structure of Zr3AuN.

Output
Magnetic moment, μB per formula unit: 0.0
Total energy, eV per atom: -8.340
Space group: Pm, No. 6
Crystal system: monoclinic
Uncorrected formation energy, meV per atom: -891

Cell: 4.6738 13.1280 3.2683 Å, 105.80 90.00 69.14°
With the nearest neighbours (Å) after each atom.
Atoms (fractional coordinates):
Au 0.1430 0.7603 0.0282  2 Au 2.88, 6 Zr 2.90-3.21
Au 0.4995 0.9038 0.1747  7 Zr 2.80-3.06, 2 Au 2.88
Zr 0.9909 0.4124 0.7259  2 N 2.34
Zr 0.6332 0.2700 0.0733  4 N 2.30-2.34
Zr 0.9063 0.9970 0.7774  2 N 2.24
Zr 0.3712 0.5321 0.3646  2 N 2.17-2.18
Zr 0.2610 0.1423 0.4348  2 N 2.34
Zr 0.7045 0.6988 0.4404  6 Au 2.89-2.98, 2 Zr 3.07
N 0.4936 0.4097 0.7325  6 Zr 2.17-2.34
N 0.7760 0.1273 0.4191  6 Zr 2.24-2.34


3.
DFT (PBE-GGA) results for a relaxed structure of Zr3AuN.

Output
Magnetic moment, μB per formula unit: 0.0
Total energy, eV per atom: -7.969
Space group: Fd-3m, No. 227
Crystal system: cubic
Uncorrected formation energy, meV per atom: -519

Cell: 8.3751 8.3751 8.3751 Å, 60.00 60.00 60.00°
With the nearest neighbours (Å) after each atom.
Atoms (fractional coordinates):
Au 0.6250 0.6250 0.6250  6 Zr 3.02
Au 0.6250 0.1250 0.6250  6 Zr 3.02
Au 0.1250 0.6250 0.6250  6 Zr 3.02
Au 0.6250 0.6250 0.1250  6 Zr 3.02
Zr 0.8086 0.1914 0.1914  2 N 2.24
Zr 0.0586 0.4414 0.4414  2 N 2.24
Zr 0.4414 0.4414 0.0586  2 N 2.24
Zr 0.4414 0.0586 0.0586  2 N 2.24
Zr 0.0586 0.4414 0.0586  2 N 2.24
Zr 0.8086 0.1914 0.8086  2 N 2.24
Zr 0.4414 0.0586 0.4414  2 N 2.24
Zr 0.0586 0.0586 0.4414  2 N 2.24
Zr 0.1914 0.8086 0.1914  2 N 2.24
Zr 0.1914 0.8086 0.8086  2 N 2.24
Zr 0.1914 0.1914 0.8086  2 N 2.24
Zr 0.8086 0.8086 0.1914  2 N 2.24
N 0.1250 0.1250 0.1250  6 Zr 2.24
N 0.1250 0.6250 0.1250  6 Zr 2.24
N 0.6250 0.1250 0.1250  6 Zr 2.24
N 0.1250 0.1250 0.6250  6 Zr 2.24


4.
DFT (PBE-GGA) results for a relaxed structure of ZrAu2N.

Output
Magnetic moment, μB per formula unit: 0.0
Total energy, eV per atom: -5.749
Space group: I-42d, No. 122
Crystal system: tetragonal
Uncorrected formation energy, meV per atom: 108

Cell: 8.1495 8.1495 6.1578 Å, 48.57 48.57 90.00°
With the nearest neighbours (Å) after each atom.
Atoms (fractional coordinates):
Au 0.5292 0.1250 0.2500  2 N 2.45, 2 Au 2.67
Au 0.2208 0.6250 0.2500  2 N 2.45, 2 Au 2.67
Au 0.3750 0.4708 0.7500  2 N 2.45, 2 Au 2.67
Au 0.8750 0.7792 0.7500  2 N 2.45, 2 Au 2.67
Zr 0.0000 0.0000 0.0000  2 N 2.17
Zr 0.7500 0.2500 0.5000  2 N 2.17
N 0.5000 0.5000 0.0000  2 Zr 2.17
N 0.2500 0.7500 0.5000  2 Zr 2.17